(1)
The following is a DFT calculation (GGA-PBE) of a relaxed TaZnOs2 crystal.

Cell lengths 4.034, 2.784, 6.056 Å; angles 62.69, 90.00, 90.00 degrees
Positions (direct):
Os1 0.000 0.012 0.991
Os2 0.500 0.256 0.247
Ta1 0.000 0.495 0.500
Zn1 0.500 0.738 0.761

Calculated values
- ΔE_f: 0.030 eV per atom
- Magnetization: 0.00 μB per cell
- Space group: Pm (6)

(2)
The following is a DFT calculation (GGA-PBE) of a relaxed TaZn2Os crystal.

Cell lengths 2.715, 2.715, 8.965 Å; angles 90.00, 90.00, 110.58 degrees
Positions (direct):
Os1 0.500 0.500 0.250
Ta1 0.500 0.500 0.750
Zn1 0.000 0.000 0.011
Zn2 0.000 0.000 0.489

Calculated values
- ΔE_f: 0.270 eV per atom
- Magnetization: 0.00 μB per cell
- Space group: Cmmm (65)
- Relative energy among the computed polymorphs: 1.15 eV/f.u.

(3)
The following is a DFT calculation (GGA-PBE) of a relaxed TaZn2Os crystal.

Cell lengths 3.182, 4.316, 4.471 Å; angles 90.00, 90.00, 90.00 degrees
Positions (direct):
Os1 0.500 0.000 0.500
Ta1 0.000 0.500 0.500
Zn1 0.000 0.000 0.000
Zn2 0.500 0.500 0.000

Calculated values
- ΔE_f: 0.011 eV per atom
- Magnetization: 0.00 μB per cell
- Space group: Pmmm (47)
- Relative energy among the computed polymorphs: 0.12 eV/f.u.

(4)
The following is a DFT calculation (GGA-PBE) of a relaxed TaZn2Os crystal.

Cell lengths 2.772, 2.772, 8.838 Å; angles 90.00, 90.00, 112.38 degrees
Positions (direct):
Os1 0.000 0.000 0.498
Ta1 0.500 0.500 0.744
Zn1 0.000 0.000 0.007
Zn2 0.500 0.500 0.251

Calculated values
- ΔE_f: 0.117 eV per atom
- Magnetization: 0.00 μB per cell
- Space group: Cmm2 (35)
- Relative energy among the computed polymorphs: 0.54 eV/f.u.

(5)
The following is a DFT calculation (GGA-PBE) of a relaxed TaZnOs2 crystal.

Cell lengths 2.733, 2.733, 9.201 Å; angles 90.00, 90.00, 115.40 degrees
Positions (direct):
Os1 0.000 0.000 0.999
Os2 0.500 0.500 0.247
Ta1 0.000 0.000 0.497
Zn1 0.500 0.500 0.757

Calculated values
- ΔE_f: 0.354 eV per atom
- Magnetization: 0.00 μB per cell
- Space group: Cmm2 (35)

(6)
The following is a DFT calculation (GGA-PBE) of a relaxed TaZnOs3 crystal.

Cell lengths 4.413, 4.413, 4.413 Å; angles 90.00, 90.00, 90.00 degrees
Positions (direct):
Zn1 0.000 0.000 0.000
Os1 0.000 0.500 0.000
Os2 0.000 0.000 0.500
Os3 0.500 0.000 0.000
Ta1 0.500 0.500 0.500

Calculated values
- ΔE_f: 1.584 eV per atom
- Magnetization: 0.00 μB per cell
- Space group: Pm-3m (221)
- Relative energy among the computed polymorphs: 0.00 eV/f.u.

(7)
The following is a DFT calculation (GGA-PBE) of a relaxed TaZnOs2 crystal.

Cell lengths 4.641, 4.641, 4.943 Å; angles 80.78, 80.78, 35.47 degrees
Positions (direct):
Os1 0.000 0.000 0.018
Os2 0.500 0.500 0.482
Ta1 0.750 0.750 0.750
Zn1 0.250 0.250 0.250

Calculated values
- ΔE_f: 0.034 eV per atom
- Magnetization: 0.00 μB per cell
- Space group: C2/m (12)

(8)
The following is a DFT calculation (GGA-PBE) of a relaxed TaZn2Os crystal.

Cell lengths 4.365, 4.365, 4.365 Å; angles 60.00, 60.00, 60.00 degrees
Positions (direct):
Zn1 0.250 0.250 0.250
Zn2 0.750 0.750 0.750
Os1 0.500 0.500 0.500
Ta1 0.000 0.000 0.000

Calculated values
- ΔE_f: 0.195 eV per atom
- Magnetization: 0.00 μB per cell
- Space group: Fm-3m (225)
- Relative energy among the computed polymorphs: 0.85 eV/f.u.

> Which formula does entry 1 have?

TaZnOs2

Copy entry 8 word for word.
The following is a DFT calculation (GGA-PBE) of a relaxed TaZn2Os crystal.

Cell lengths 4.365, 4.365, 4.365 Å; angles 60.00, 60.00, 60.00 degrees
Positions (direct):
Zn1 0.250 0.250 0.250
Zn2 0.750 0.750 0.750
Os1 0.500 0.500 0.500
Ta1 0.000 0.000 0.000

Calculated values
- ΔE_f: 0.195 eV per atom
- Magnetization: 0.00 μB per cell
- Space group: Fm-3m (225)
- Relative energy among the computed polymorphs: 0.85 eV/f.u.